! AlMoIr4 (PBE, relaxed); values from VASP
&SYSTEM
  ibrav = 0, nat = 6, ntyp = 3
/
ATOMIC_SPECIES
Al 26.98 Al.upf
Mo 95.94 Mo.upf
Ir 192.22 Ir.upf
CELL_PARAMETERS angstrom
0.000 3.631 3.631
3.631 0.000 3.631
3.631 3.631 0.000
ATOMIC_POSITIONS crystal
Al 0.000 0.000 0.000
Mo 0.250 0.250 0.250
Ir 0.124 0.625 0.625
Ir 0.625 0.124 0.625
Ir 0.625 0.625 0.124
Ir 0.625 0.625 0.625
! E_tot = -48.79 eV for the cell shown
! calculated formation energy = 204 meV/atom
! mass density = 15473 kg/m3